# 1
Compound: RbY2BH
Source: the Alexandria database
Functional: PBE
Structure: relaxed Values from VASP.

Structure (Quantum ESPRESSO input):
```
&SYSTEM
  ibrav = 0, nat = 5, ntyp = 4
/
ATOMIC_SPECIES
Rb 85.47 Rb.upf
Y 88.91 Y.upf
B 10.81 B.upf
H 1.01 H.upf
ATOMIC_POSITIONS angstrom
Rb 0.0000 0.0000 0.0000
Y 0.0000 2.4371 2.1126
Y 2.4371 0.0000 2.1126
B 2.4371 2.4371 0.0000
H 2.4371 2.4371 2.1126
CELL_PARAMETERS angstrom
4.8743 0.0000 0.0000
0.0000 4.8743 0.0000
0.0000 0.0000 4.2251
```

=====

# 2
! ReBH3 PBE relaxed; values from VASP
! ΔE to the lowest computed polymorph = 0.160 eV/atom
&SYSTEM
  ibrav = 0, nat = 5, ntyp = 3
/
ATOMIC_SPECIES
Re 186.21 Re.upf
B 10.81 B.upf
H 1.01 H.upf
ATOMIC_POSITIONS angstrom
Re 0.0000 0.0000 0.0000
B 1.6860 1.6860 1.6860
H 0.0000 0.0000 1.6860
H 0.0000 1.6860 0.0000
H 1.6860 0.0000 0.0000
CELL_PARAMETERS angstrom
3.3719 0.0000 0.0000
0.0000 3.3719 0.0000
0.0000 0.0000 3.3719

=====

# 3
Compound: ReBH
Source: the Alexandria database
Functional: PBE
Structure: relaxed Values from VASP.

Structure (Quantum ESPRESSO input):
```
&SYSTEM
  ibrav = 0, nat = 6, ntyp = 3
/
ATOMIC_SPECIES
Re 186.21 Re.upf
B 10.81 B.upf
H 1.01 H.upf
ATOMIC_POSITIONS angstrom
Re 0.0000 0.0000 0.0000
Re 2.0691 2.0496 0.0000
B 1.1690 0.0000 2.0065
B 3.2381 2.0496 2.0065
H 0.6736 2.0496 1.2000
H 2.7427 0.0000 1.2000
CELL_PARAMETERS angstrom
4.1383 0.0000 0.0000
0.0000 4.0993 0.0000
-0.8357 0.0000 2.9188
```

=====

# 4
! ReBH2 PBE relaxed; values from VASP
! ΔE to the lowest computed polymorph = 0.065 eV/atom
&SYSTEM
  ibrav = 0, nat = 16, ntyp = 3
/
ATOMIC_SPECIES
Re 186.21 Re.upf
B 10.81 B.upf
H 1.01 H.upf
ATOMIC_POSITIONS angstrom
Re 0.0000 0.0000 0.0000
Re 0.0000 2.3736 2.3736
Re 2.3736 0.0000 2.3736
Re 2.3736 2.3736 0.0000
B 0.0000 0.0000 2.3736
B 0.0000 2.3736 0.0000
B 2.3736 0.0000 0.0000
B 2.3736 2.3736 2.3736
H 1.1868 1.1868 1.1868
H 1.1868 1.1868 3.5604
H 1.1868 3.5604 1.1868
H 1.1868 3.5604 3.5604
H 3.5604 1.1868 1.1868
H 3.5604 1.1868 3.5604
H 3.5604 3.5604 1.1868
H 3.5604 3.5604 3.5604
CELL_PARAMETERS angstrom
4.7472 0.0000 0.0000
0.0000 4.7472 0.0000
0.0000 0.0000 4.7472

=====

# 5
! ReBH2 PBE relaxed; values from VASP
! ΔE to the lowest computed polymorph = 0.000 eV/atom
&SYSTEM
  ibrav = 0, nat = 16, ntyp = 3
/
ATOMIC_SPECIES
Re 186.21 Re.upf
B 10.81 B.upf
H 1.01 H.upf
ATOMIC_POSITIONS angstrom
Re 0.0000 0.0000 0.0000
Re 0.0000 1.9510 1.8848
Re 1.9510 0.0000 5.6544
Re 1.9510 1.9510 3.7696
B 0.0000 0.0000 3.7696
B 0.0000 1.9510 5.6544
B 1.9510 0.0000 1.8848
B 1.9510 1.9510 0.0000
H 0.5635 0.9755 4.7120
H 0.9755 2.5146 6.5968
H 0.9755 3.3385 2.8272
H 1.3875 0.9755 0.9424
H 2.5146 2.9266 0.9424
H 2.9266 0.5635 2.8272
H 2.9266 1.3875 6.5968
H 3.3385 2.9266 4.7120
CELL_PARAMETERS angstrom
3.9021 0.0000 0.0000
0.0000 3.9021 0.0000
0.0000 0.0000 7.5392

=====

# 6
! ReBH3 PBE relaxed; values from VASP
! ΔE to the lowest computed polymorph = 0.000 eV/atom
&SYSTEM
  ibrav = 0, nat = 5, ntyp = 3
/
ATOMIC_SPECIES
Re 186.21 Re.upf
B 10.81 B.upf
H 1.01 H.upf
ATOMIC_POSITIONS angstrom
Re 0.0000 0.0000 0.0000
B 1.5301 1.5301 1.5301
H 0.0000 1.5301 1.5301
H 1.5301 0.0000 1.5301
H 1.5301 1.5301 0.0000
CELL_PARAMETERS angstrom
3.0601 0.0000 0.0000
0.0000 3.0601 0.0000
0.0000 0.0000 3.0601

=====

# 7
! ReB3H PBE relaxed; values from VASP
! ΔE to the lowest computed polymorph = 0.439 eV/atom
&SYSTEM
  ibrav = 0, nat = 5, ntyp = 3
/
ATOMIC_SPECIES
Re 186.21 Re.upf
B 10.81 B.upf
H 1.01 H.upf
ATOMIC_POSITIONS angstrom
Re 0.0000 0.0000 0.0000
B 0.0000 0.0000 2.0642
B 0.0000 2.0642 0.0000
B 2.0642 0.0000 0.0000
H 2.0642 2.0642 2.0642
CELL_PARAMETERS angstrom
4.1284 0.0000 0.0000
0.0000 4.1284 0.0000
0.0000 0.0000 4.1284

=====

# 8
! ReB3H PBE relaxed; values from VASP
! ΔE to the lowest computed polymorph = 0.000 eV/atom
&SYSTEM
  ibrav = 0, nat = 5, ntyp = 3
/
ATOMIC_SPECIES
Re 186.21 Re.upf
B 10.81 B.upf
H 1.01 H.upf
ATOMIC_POSITIONS angstrom
Re 0.0000 0.0000 0.0000
B 0.0000 1.6586 1.6586
B 1.6586 0.0000 1.6586
B 1.6586 1.6586 0.0000
H 1.6586 1.6586 1.6586
CELL_PARAMETERS angstrom
3.3173 0.0000 0.0000
0.0000 3.3173 0.0000
0.0000 0.0000 3.3173

=====

In the order shown, the computed uncorrected energy values come out to -3.904, -4.599, -7.093, -5.393, -5.458, -4.759, -5.608, -6.047 eV per atom.